GGA-PBE TlBi2S4, optimized geometry; space group = No. 141
1.0
-4.186 4.186 5.933
4.186 -4.186 5.933
4.186 4.186 -5.933
Tl Bi S
2 4 8
direct
0.375 0.625 0.750
0.625 0.375 0.250
0.000 0.000 0.000
0.000 0.000 0.500
0.000 0.500 0.000
0.500 0.000 0.500
0.220 0.240 0.980
0.240 0.220 0.480
0.240 0.759 0.020
0.241 0.760 0.480
0.759 0.240 0.520
0.760 0.241 0.980
0.760 0.780 0.520
0.780 0.760 0.020

***

GGA-PBE TlBiS3, optimized geometry; space group = No. 221
1.0
5.288 0.000 0.000
0.000 5.288 0.000
0.000 0.000 5.288
Tl Bi S
1 1 3
direct
0.000 0.000 0.000
0.500 0.500 0.500
0.000 0.500 0.500
0.500 0.000 0.500
0.500 0.500 0.000

***

| no. | electronic total energy (eV per atom) | formation energy without anion corrections (eV/atom) | magnetization (μB/cell) |
| --- | --- | --- | --- |
| 1 | -4.09 | -0.284 | 0.0 |
| 2 | -3.54 | 0.185 | 0.6 |